Record 1
SrTiAlP2 | meta-GGA SCAN | PBEsol geometry

Structure (POSCAR):
```
SrTiAlP2
1.0
4.706 0.000 0.000
0.000 4.706 0.000
0.000 0.000 5.433
Al P Sr Ti
1 2 1 1
Direct
0.500 0.500 0.500
0.500 0.000 0.000
0.000 0.500 0.000
0.000 0.000 0.500
0.000 0.000 0.000
```

## Properties
ΔE_f in eV/atom: 0.33
Crystal system: tetragonal
E_tot in eV per cell: -65.21


Record 2
TaAl2P | meta-GGA SCAN | PBEsol geometry

Structure (POSCAR):
```
TaAl2P
1.0
4.444 0.000 0.000
2.222 3.849 0.000
2.222 1.283 3.628
P Al Ta
1 2 1
Direct
0.500 0.500 0.500
0.000 0.000 0.000
0.750 0.750 0.750
0.250 0.250 0.250
```

## Properties
ΔE_f in eV/atom: 0.24
Crystal system: cubic
E_tot in eV per cell: -91.53


Record 3
TaAlP2 | meta-GGA SCAN | PBEsol geometry

Structure (POSCAR):
```
TaAlP2
1.0
3.145 0.000 0.000
0.000 4.253 0.000
0.000 0.000 4.323
Ta P Al
1 2 1
Direct
0.500 0.500 0.000
0.000 0.000 0.000
0.000 0.500 0.500
0.500 0.000 0.500
```

## Properties
ΔE_f in eV/atom: -0.08
Crystal system: orthorhombic
E_tot in eV per cell: -95.45


Record 4
TaAlP2 | meta-GGA SCAN | PBEsol geometry

Structure (POSCAR):
```
TaAlP2
1.0
3.457 0.000 0.000
0.000 3.457 0.000
0.000 0.000 5.200
Ta P Al
1 2 1
Direct
0.000 0.000 0.430
0.000 0.000 0.926
0.500 0.500 0.336
0.500 0.500 0.808
```

## Properties
ΔE_f in eV/atom: -0.35
Crystal system: tetragonal
E_tot in eV per cell: -96.54